[1]
! TaB | Alexandria via LeMat-Bulk | PBE | optimized geometry; values from VASP
! Space-group type: P6_3/mmc, No. 194
! E above lowest polymorph: 674.2 meV per atom
! Electronic total energy: -9.405 eV/atom
! Formation enthalpy at 0 K: -0.14 eV/atom
&SYSTEM
  ibrav = 0, nat = 4, ntyp = 2
/
ATOMIC_SPECIES
Ta 180.95 Ta.upf
B 10.81 B.upf
CELL_PARAMETERS angstrom
-1.905 3.285 -0.683
-1.630 -2.767 2.137
1.813 1.833 3.756
ATOMIC_POSITIONS angstrom
Ta -1.269 -0.292 2.136
B -1.360 1.725 1.196
Ta -0.454 2.642 3.074
B -0.362 0.625 4.014

[2]
! TaB | Alexandria via LeMat-Bulk | PBE | optimized geometry; values from VASP
! Space-group type: I-43m, No. 217
! E above lowest polymorph: 1637.7 meV per atom
! Electronic total energy: -8.442 eV/atom
! Formation enthalpy at 0 K: 0.82 eV/atom
&SYSTEM
  ibrav = 0, nat = 16, ntyp = 2
/
ATOMIC_SPECIES
B 10.81 B.upf
Ta 180.95 Ta.upf
CELL_PARAMETERS angstrom
-3.781 -5.424 -1.954
4.592 -4.246 2.902
-3.487 0.290 5.941
ATOMIC_POSITIONS angstrom
B 0.519 -4.551 3.275
Ta -2.814 -1.270 5.159
Ta -3.196 -4.829 3.614
Ta -0.919 -3.221 2.365
Ta -2.257 -7.911 5.810
B 0.138 -8.110 1.730
Ta -0.573 -4.460 5.136
B -2.103 -4.920 1.753
Ta 2.734 -4.385 3.072
B -0.419 -1.469 1.079
B -2.011 -3.130 4.226
B -1.757 -6.159 4.523
Ta -0.665 -6.250 2.662
B -5.410 -4.995 3.817
Ta -3.015 -5.194 -0.263
B 0.340 -4.186 7.152

[3]
! TaB | Alexandria via LeMat-Bulk | PBE | optimized geometry; values from VASP
! Space-group type: Fm-3m, No. 225
! E above lowest polymorph: 145.9 meV per atom
! Electronic total energy: -9.934 eV/atom
! Formation enthalpy at 0 K: -0.67 eV/atom
&SYSTEM
  ibrav = 0, nat = 8, ntyp = 2
/
ATOMIC_SPECIES
Ta 180.95 Ta.upf
B 10.81 B.upf
CELL_PARAMETERS angstrom
4.602 0.000 0.000
0.000 4.602 0.000
0.000 0.000 4.602
ATOMIC_POSITIONS angstrom
Ta 2.301 0.000 0.000
B 0.000 0.000 0.000
Ta 2.301 2.301 2.301
B 2.301 0.000 2.301
B 0.000 2.301 2.301
Ta 0.000 2.301 0.000
Ta 0.000 0.000 2.301
B 2.301 2.301 0.000

[4]
! TaB | Alexandria via LeMat-Bulk | PBE | optimized geometry; values from VASP
! Space-group type: I4/mcm, No. 140
! E above lowest polymorph: 822.4 meV per atom
! Electronic total energy: -9.257 eV/atom
! Formation enthalpy at 0 K: 0.01 eV/atom
&SYSTEM
  ibrav = 0, nat = 16, ntyp = 2
/
ATOMIC_SPECIES
B 10.81 B.upf
Ta 180.95 Ta.upf
CELL_PARAMETERS angstrom
-0.152 -6.907 -3.337
3.739 2.847 -6.064
3.962 -1.033 1.958
ATOMIC_POSITIONS angstrom
B 2.491 -2.499 -1.101
B 1.283 -0.047 -2.621
Ta 4.255 -4.604 -5.780
B 5.057 -2.593 -6.343
Ta 3.294 -0.488 -1.663
B 4.391 0.295 -3.470
Ta 5.130 -0.542 -5.409
Ta 0.481 -2.058 -2.059
Ta 1.204 -4.902 -5.024
Ta 3.106 -2.002 -7.342
Ta 2.418 -4.551 -2.035
B 3.157 -5.388 -3.973
B 2.304 -4.013 -6.780
B 3.122 0.006 -6.315
B 0.465 -4.065 -3.086
Ta 2.383 0.843 -4.377

[5]
! TaB | Alexandria via LeMat-Bulk | PBE | optimized geometry; values from VASP
! Space-group type: F-43m, No. 216
! E above lowest polymorph: 1378.8 meV per atom
! Electronic total energy: -8.701 eV/atom
! Formation enthalpy at 0 K: 0.56 eV/atom
&SYSTEM
  ibrav = 0, nat = 8, ntyp = 2
/
ATOMIC_SPECIES
Ta 180.95 Ta.upf
B 10.81 B.upf
CELL_PARAMETERS angstrom
5.005 0.000 0.000
0.000 5.005 0.000
0.000 0.000 5.005
ATOMIC_POSITIONS angstrom
Ta 0.000 0.000 0.000
B 3.754 1.251 3.754
B 1.251 3.754 3.754
Ta 0.000 2.502 2.502
B 1.251 1.251 1.251
Ta 2.502 0.000 2.502
B 3.754 3.754 1.251
Ta 2.502 2.502 0.000

[6]
! TaB | Alexandria via LeMat-Bulk | PBE | optimized geometry; values from VASP
! Space-group type: Amm2, No. 38
! E above lowest polymorph: 471.2 meV per atom
! Electronic total energy: -9.608 eV/atom
! Formation enthalpy at 0 K: -0.34 eV/atom
&SYSTEM
  ibrav = 0, nat = 12, ntyp = 2
/
ATOMIC_SPECIES
B 10.81 B.upf
Ta 180.95 Ta.upf
CELL_PARAMETERS angstrom
-0.922 0.850 -2.909
-6.887 0.578 2.351
0.979 5.914 1.416
ATOMIC_POSITIONS angstrom
B -4.297 4.944 1.080
B -2.725 4.624 2.214
B -6.073 2.095 0.811
Ta -0.421 5.482 1.734
Ta -1.732 2.594 1.306
Ta -4.686 5.839 3.190
B 0.228 1.378 0.330
Ta 0.080 3.690 -0.673
B -1.344 1.698 -0.803
B -2.140 4.763 0.344
Ta -3.853 1.022 -0.205
Ta -4.354 2.814 2.201

Q: formation enthalpy at 0 K of number 1 (TaB)?
A: -0.14 eV/atom